Computed, not measured: an optimized crystal structure of AcNd4Ho3 at the PBE level of DFT.

The energy of formation is 0.09 eV/atom.

Lattice parameters (Å, degrees): 3.778 5.957 24.954 90.00 90.00 90.00
Space group Immm (No. 71)
Unique sites:
Ac (0.000, 0.000, 0.000) [2 per cell]
Nd (0.000, 0.500, 0.114) [4 per cell]
Nd (0.000, 0.500, 0.358) [4 per cell]
Ho (0.000, 0.000, 0.266) [4 per cell]
Ho (0.000, 0.000, 0.500) [2 per cell]

=====

Computed, not measured: an optimized crystal structure of CrPdCl3 at the PBE level of DFT.

As for the final energy: -21.53 eV for the cell shown.

Lattice parameters (Å, degrees): 4.790 4.790 4.790 90.00 90.00 90.00
Space group Pm-3m (No. 221)
Unique sites:
Cr (0.000, 0.000, 0.000) [1 per cell]
Pd (0.500, 0.500, 0.500) [1 per cell]
Cl (0.000, 0.000, 0.500) [3 per cell]

=====

Computed, not measured: an optimized crystal structure of TiTlTeS2 at the PBE level of DFT.

As for the final energy: -24.59 eV for the cell shown.

Lattice parameters (Å, degrees): 4.690 4.690 5.766 90.00 90.00 90.00
Space group P4/mmm (No. 123)
Unique sites:
Ti (0.000, 0.000, 0.000) [1 per cell]
Tl (0.500, 0.500, 0.500) [1 per cell]
Te (0.000, 0.000, 0.500) [1 per cell]
S (0.000, 0.500, 0.000) [2 per cell]